[1]
{
  "formula": "MgPd5Pb",
  "functional": "GGA-PBE",
  "state": "optimized geometry",
  "final_energy_ev_per_atom": -4.63,
  "sg": "Imm2 (44)",
  "e_above_lowest_polymorph_ev_per_atom": 0.188,
  "lattice": [[-4.664, -7.961, -2.182], [3.006, -0.612, -4.192], [2.555, 2.879, 4.630]],
  "species": ["Pd", "Pd", "Pd", "Pd", "Pd", "Pb", "Mg"],
  "frac_coords": [[0.084, 0.751, 0.000], [0.565, 0.754, 0.508], [0.837, 0.500, 0.000], [0.084, 0.249, 0.000], [0.056, 0.246, 0.492], [0.563, 0.500, 0.000], [0.341, 0.000, 0.000]]
}



[2]
{
  "formula": "PrH4Os",
  "functional": "GGA-PBE",
  "state": "optimized geometry",
  "final_energy_ev_per_atom": -5.12,
  "sg": "Ama2 (40)",
  "lattice": [[4.259, 0.534, 0.000], [2.168, 3.704, 0.000], [0.000, 0.000, 8.531]],
  "species": ["Pr", "Pr", "H", "H", "H", "H", "H", "H", "H", "H", "Os", "Os"],
  "frac_coords": [[0.927, 0.073, 0.000], [0.927, 0.073, 0.500], [0.621, 0.750, 0.049], [0.359, 0.707, 0.750], [0.754, 0.889, 0.750], [0.250, 0.379, 0.549], [0.250, 0.379, 0.951], [0.621, 0.750, 0.451], [0.111, 0.246, 0.250], [0.293, 0.641, 0.250], [0.621, 0.736, 0.250], [0.264, 0.379, 0.750]]
}



[3]
{
  "formula": "PuAl2CdAu2",
  "functional": "GGA-PBE",
  "state": "optimized geometry",
  "final_energy_ev_per_atom": -5.23,
  "sg": "P-3m1 (164)",
  "lattice": [[4.507, 0.000, 0.000], [-2.253, 3.903, 0.000], [0.000, 0.000, 6.993]],
  "species": ["Al", "Al", "Au", "Au", "Pu", "Cd"],
  "frac_coords": [[0.333, 0.667, 0.723], [0.667, 0.333, 0.277], [0.667, 0.333, 0.731], [0.333, 0.667, 0.269], [0.000, 0.000, 0.000], [0.000, 0.000, 0.500]]
}



In the order shown, the computed calculated volume values come out to 130.68 124.68 122.99 Å³ per cell.